Entry 1:
The following is a DFT calculation (PBE) of a geometry-optimized KBiO2 structure.

POSCAR file:
```
KBiO2
1.0
-3.9113 3.1614 3.3726
-1.6740 -5.0867 2.8267
0.8176 -0.2140 6.5848
K Bi O
2 2 4
Cartesian
-2.7926 -0.9626 3.0997
-1.8245 -3.1317 6.2556
0.0000 0.0000 0.0000
-2.9432 0.9924 6.5285
-2.7142 1.5005 4.3357
-1.0660 -3.0515 3.6062
-1.3680 -0.5381 7.0720
-4.3873 -2.1895 10.5543
```

## Properties
- raw formation energy (meV/atom) = -1256
- total magnetization (μB/f.u.) = 0.00

***

Entry 2:
The following is a DFT calculation (PBE) of a geometry-optimized Rb2NbSF6 structure.

POSCAR file:
```
Rb2NbSF6
1.0
6.9820 0.0000 0.0000
0.0000 6.9820 0.0000
3.4910 3.4910 5.1357
Nb S Rb F
1 1 2 6
Cartesian
0.0000 0.0000 0.0000
3.4910 3.4910 0.0000
6.9820 3.4910 2.5679
3.4910 6.9820 2.5679
3.4910 3.4910 3.1871
6.9820 6.9820 1.9486
1.3789 1.3789 0.0000
5.6031 5.6031 0.0000
5.6031 1.3789 0.0000
1.3789 5.6031 0.0000
```

## Properties
- raw formation energy (meV/atom) = -2354
- total magnetization (μB/f.u.) = 1.00

***

Entry 3:
The following is a DFT calculation (PBE) of a geometry-optimized Cs4PrNd3Te8 structure.

POSCAR file:
```
Cs4PrNd3Te8
1.0
-3.1542 -8.7822 -0.8687
2.9869 -2.0438 9.8173
-5.8546 7.2214 -1.1946
Cs Pr Nd Te
4 1 3 8
Cartesian
-1.5771 -4.3911 -0.4343
-4.5044 -0.7804 -1.0316
0.0000 0.0000 0.0000
-2.9273 3.6107 -0.5973
1.4934 -1.0219 4.9086
-0.0837 -5.4130 4.4743
-3.0110 -1.8023 3.8770
-1.4339 2.5888 4.3114
-4.2953 3.4901 5.4756
-1.3811 -0.1044 6.0701
-3.0762 0.8950 2.1216
-5.8653 -0.8812 5.0432
-0.1566 -2.7234 2.7109
-2.9458 -4.4996 5.6324
-4.6408 -3.5002 1.6839
-1.7266 -7.0947 2.2785
```

## Properties
- raw formation energy (meV/atom) = -1416
- total magnetization (μB/f.u.) = 0.00